Density functional theory data (PBE-GGA) for an optimized crystal structure of RbGaSi.

Structure (CIF):
```
data_RbGaSi
_chemical_formula_sum 'Rb2 Ga2 Si2'
_symmetry_space_group_name_H-M 'P 63/m m c'
_symmetry_Int_Tables_number 194
_symmetry_space_group_name_Hall '-P 6c 2c'
_cell_length_a 6.2342
_cell_length_b 6.2342
_cell_length_c 9.1967
_cell_angle_alpha 90.00
_cell_angle_beta 90.00
_cell_angle_gamma 120.00
loop_
_atom_site_label
_atom_site_type_symbol
_atom_site_fract_x
_atom_site_fract_y
_atom_site_fract_z
Rb1 Rb 0.3333 0.6667 0.2500
Ga1 Ga 0.0000 0.0000 0.2500
Si1 Si 0.0000 0.0000 0.0000
```

Output
D(E_F) (states/eV per cell): 3.26
Uncorrected formation energy (eV per atom): 0.48
Final energy (Ry per atom): -0.1957

=====

Density functional theory data (PBE-GGA) for an optimized crystal structure of RbGaSi3.

Structure (CIF):
```
data_RbGaSi3
_chemical_formula_sum 'Rb1 Ga1 Si3'
_symmetry_space_group_name_H-M 'P m -3 m'
_symmetry_Int_Tables_number 221
_symmetry_space_group_name_Hall '-P 4 2 3'
_cell_length_a 5.056
_cell_length_b 5.056
_cell_length_c 5.056
_cell_angle_alpha 90.00
_cell_angle_beta 90.00
_cell_angle_gamma 90.00
loop_
_atom_site_label
_atom_site_type_symbol
_atom_site_fract_x
_atom_site_fract_y
_atom_site_fract_z
Rb1 Rb 0.000 0.000 0.000
Ga1 Ga 0.500 0.500 0.500
Si1 Si 0.000 0.500 0.500
```

Output
D(E_F) (states/eV per cell): 3.03
Uncorrected formation energy (eV per atom): 0.80
Energy relative to the lowest polymorph listed for this composition (meV per atom): 0
Final energy (Ry per atom): -0.2393

=====

Density functional theory data (PBE-GGA) for an optimized crystal structure of RbGaSi.

Structure (CIF):
```
data_RbGaSi
_chemical_formula_sum 'Rb8 Ga8 Si8'
_symmetry_space_group_name_H-M 'I 4/m m m'
_symmetry_Int_Tables_number 139
_symmetry_space_group_name_Hall '-I 4 2'
_cell_length_a 13.602
_cell_length_b 13.602
_cell_length_c 4.482
_cell_angle_alpha 90.00
_cell_angle_beta 90.00
_cell_angle_gamma 90.00
loop_
_atom_site_label
_atom_site_type_symbol
_atom_site_fract_x
_atom_site_fract_y
_atom_site_fract_z
Rb1 Rb 0.000 0.230 0.000
Ga1 Ga 0.224 0.224 0.500
Si1 Si 0.000 0.415 0.500
```

Output
D(E_F) (states/eV per cell): 9.92
Uncorrected formation energy (eV per atom): 0.23
Final energy (Ry per atom): -0.2135

=====

Density functional theory data (PBE-GGA) for an optimized crystal structure of RbGaSi.

Structure (CIF):
```
data_RbGaSi
_chemical_formula_sum 'Rb1 Ga1 Si1'
_symmetry_space_group_name_H-M 'P -6 m 2'
_symmetry_Int_Tables_number 187
_symmetry_space_group_name_Hall 'P -6 2'
_cell_length_a 4.2142
_cell_length_b 4.2142
_cell_length_c 5.8058
_cell_angle_alpha 90.00
_cell_angle_beta 90.00
_cell_angle_gamma 120.00
loop_
_atom_site_label
_atom_site_type_symbol
_atom_site_fract_x
_atom_site_fract_y
_atom_site_fract_z
Rb1 Rb 0.0000 0.0000 0.0000
Ga1 Ga 0.6667 0.3333 0.5000
Si1 Si 0.3333 0.6667 0.5000
```

Output
D(E_F) (states/eV per cell): 0.08
Uncorrected formation energy (eV per atom): -0.09
Final energy (Ry per atom): -0.2372

=====

Density functional theory data (PBE-GGA) for an optimized crystal structure of RbGaSi.

Structure (CIF):
```
data_RbGaSi
_chemical_formula_sum 'Rb4 Ga4 Si4'
_symmetry_space_group_name_H-M 'P 41 2 2'
_symmetry_Int_Tables_number 91
_cell_length_a 5.921
_cell_length_b 5.921
_cell_length_c 13.270
_cell_angle_alpha 90.00
_cell_angle_beta 90.00
_cell_angle_gamma 90.00
loop_
_symmetry_equiv_pos_as_xyz
'x,y,z'
'-y,x,z+1/4'
'-x,-y,z+1/2'
'y,-x,z+3/4'
'x,-y,-z+1/2'
'-y,-x,-z+1/4'
'-x,y,-z'
'y,x,-z+3/4'
loop_
_atom_site_label
_atom_site_type_symbol
_atom_site_fract_x
_atom_site_fract_y
_atom_site_fract_z
Rb1 Rb 0.000 0.241 0.000
Ga1 Ga 0.366 0.366 0.375
Si1 Si 0.125 0.500 0.250
```

Output
D(E_F) (states/eV per cell): 0.00
Uncorrected formation energy (eV per atom): 0.22
Final energy (Ry per atom): -0.2146

=====

Density functional theory data (PBE-GGA) for an optimized crystal structure of RbGa2Si2.

Structure (CIF):
```
data_RbGa2Si2
_chemical_formula_sum 'Rb2 Ga4 Si4'
_symmetry_space_group_name_H-M 'P 4/m b m'
_symmetry_Int_Tables_number 127
_symmetry_space_group_name_Hall '-P 4 2ab'
_cell_length_a 8.634
_cell_length_b 8.634
_cell_length_c 3.129
_cell_angle_alpha 90.00
_cell_angle_beta 90.00
_cell_angle_gamma 90.00
loop_
_atom_site_label
_atom_site_type_symbol
_atom_site_fract_x
_atom_site_fract_y
_atom_site_fract_z
Rb1 Rb 0.000 0.000 0.000
Ga1 Ga 0.146 0.354 0.500
Si1 Si 0.109 0.609 0.000
```

Output
D(E_F) (states/eV per cell): 2.49
Uncorrected formation energy (eV per atom): 0.27
Energy relative to the lowest polymorph listed for this composition (meV per atom): 256
Final energy (Ry per atom): -0.2431

=====

Density functional theory data (PBE-GGA) for an optimized crystal structure of Rb2GaSiTe4.

Structure (CIF):
```
data_Rb2GaSiTe4
_chemical_formula_sum 'Rb16 Ga8 Si8 Te32'
_symmetry_space_group_name_H-M 'F d d d'
_symmetry_Int_Tables_number 70
_cell_length_a 6.605
_cell_length_b 15.194
_cell_length_c 25.888
_cell_angle_alpha 90.00
_cell_angle_beta 90.00
_cell_angle_gamma 90.00
loop_
_symmetry_equiv_pos_as_xyz
'x,y,z'
'-x,-y,-z'
'-x+1/4,-y+1/4,z'
'x+1/4,y+1/4,-z'
'x,-y+1/4,-z+1/4'
'-x,y+1/4,z+1/4'
'-x+1/4,y,-z+1/4'
'x+1/4,-y,z+1/4'
'x,y+1/2,z+1/2'
'-x,-y+1/2,-z+1/2'
'-x+1/4,-y+3/4,z+1/2'
'x+1/4,y+3/4,-z+1/2'
'x,-y+3/4,-z+3/4'
'-x,y+3/4,z+3/4'
'-x+1/4,y+1/2,-z+3/4'
'x+1/4,-y+1/2,z+3/4'
'x+1/2,y,z+1/2'
'-x+1/2,-y,-z+1/2'
'-x+3/4,-y+1/4,z+1/2'
'x+3/4,y+1/4,-z+1/2'
'x+1/2,-y+1/4,-z+3/4'
'-x+1/2,y+1/4,z+3/4'
'-x+3/4,y,-z+3/4'
'x+3/4,-y,z+3/4'
'x+1/2,y+1/2,z'
'-x+1/2,-y+1/2,-z'
'-x+3/4,-y+3/4,z'
'x+3/4,y+3/4,-z'
'x+1/2,-y+3/4,-z+1/4'
'-x+1/2,y+3/4,z+1/4'
'-x+3/4,y+1/2,-z+1/4'
'x+3/4,-y+1/2,z+1/4'
loop_
_atom_site_label
_atom_site_type_symbol
_atom_site_fract_x
_atom_site_fract_y
_atom_site_fract_z
Rb1 Rb 0.125 0.125 0.309
Ga1 Ga 0.125 0.125 0.125
Si1 Si 0.125 0.125 0.625
Te1 Te 0.120 0.278 0.818
```

Output
D(E_F) (states/eV per cell): 36.55
Uncorrected formation energy (eV per atom): -0.52
Final energy (Ry per atom): -0.2493

=====

Density functional theory data (PBE-GGA) for an optimized crystal structure of RbTi2GaSi.

Structure (CIF):
```
data_RbTi2GaSi
_chemical_formula_sum 'Rb1 Ti2 Ga1 Si1'
_symmetry_space_group_name_H-M 'P 4/m m m'
_symmetry_Int_Tables_number 123
_symmetry_space_group_name_Hall '-P 4 2'
_cell_length_a 4.847
_cell_length_b 4.847
_cell_length_c 5.297
_cell_angle_alpha 90.00
_cell_angle_beta 90.00
_cell_angle_gamma 90.00
loop_
_atom_site_label
_atom_site_type_symbol
_atom_site_fract_x
_atom_site_fract_y
_atom_site_fract_z
Rb1 Rb 0.000 0.000 0.000
Ti1 Ti 0.000 0.500 0.000
Ga1 Ga 0.000 0.000 0.500
Si1 Si 0.500 0.500 0.500
```

Output
D(E_F) (states/eV per cell): 7.22
Uncorrected formation energy (eV per atom): 2.22
Final energy (Ry per atom): -0.2072

=====

Density functional theory data (PBE-GGA) for an optimized crystal structure of RbTlGa2Si.

Structure (CIF):
```
data_RbTlGa2Si
_chemical_formula_sum 'Rb1 Tl1 Ga2 Si1'
_symmetry_space_group_name_H-M 'P 4/m m m'
_symmetry_Int_Tables_number 123
_symmetry_space_group_name_Hall '-P 4 2'
_cell_length_a 5.677
_cell_length_b 5.677
_cell_length_c 5.480
_cell_angle_alpha 90.00
_cell_angle_beta 90.00
_cell_angle_gamma 90.00
loop_
_atom_site_label
_atom_site_type_symbol
_atom_site_fract_x
_atom_site_fract_y
_atom_site_fract_z
Rb1 Rb 0.000 0.000 0.000
Tl1 Tl 0.500 0.500 0.500
Ga1 Ga 0.000 0.500 0.500
Si1 Si 0.500 0.500 0.000
```

Output
D(E_F) (states/eV per cell): 3.37
Uncorrected formation energy (eV per atom): 0.58
Final energy (Ry per atom): -0.1751

=====

Density functional theory data (PBE-GGA) for an optimized crystal structure of Rb2ZnGaSi.

Structure (CIF):
```
data_Rb2ZnGaSi
_chemical_formula_sum 'Rb2 Zn1 Ga1 Si1'
_symmetry_space_group_name_H-M 'P 4/m m m'
_symmetry_Int_Tables_number 123
_symmetry_space_group_name_Hall '-P 4 2'
_cell_length_a 6.645
_cell_length_b 6.645
_cell_length_c 4.463
_cell_angle_alpha 90.00
_cell_angle_beta 90.00
_cell_angle_gamma 90.00
loop_
_atom_site_label
_atom_site_type_symbol
_atom_site_fract_x
_atom_site_fract_y
_atom_site_fract_z
Rb1 Rb 0.000 0.500 0.000
Zn1 Zn 0.000 0.000 0.000
Ga1 Ga 0.500 0.500 0.500
Si1 Si 0.000 0.000 0.500
```

Output
D(E_F) (states/eV per cell): 3.46
Uncorrected formation energy (eV per atom): 0.38
Final energy (Ry per atom): -0.1438

=====

Density functional theory data (PBE-GGA) for an optimized crystal structure of RbZrGa2Si.

Structure (CIF):
```
data_RbZrGa2Si
_chemical_formula_sum 'Rb1 Zr1 Ga2 Si1'
_symmetry_space_group_name_H-M 'P 4/m m m'
_symmetry_Int_Tables_number 123
_symmetry_space_group_name_Hall '-P 4 2'
_cell_length_a 5.217
_cell_length_b 5.217
_cell_length_c 5.329
_cell_angle_alpha 90.00
_cell_angle_beta 90.00
_cell_angle_gamma 90.00
loop_
_atom_site_label
_atom_site_type_symbol
_atom_site_fract_x
_atom_site_fract_y
_atom_site_fract_z
Rb1 Rb 0.000 0.000 0.000
Zr1 Zr 0.500 0.500 0.500
Ga1 Ga 0.000 0.500 0.000
Si1 Si 0.000 0.000 0.500
```

Output
D(E_F) (states/eV per cell): 3.62
Uncorrected formation energy (eV per atom): 1.69
Final energy (Ry per atom): -0.1844

=====

Density functional theory data (PBE-GGA) for an optimized crystal structure of Rb2SmGaTe4.

Structure (CIF):
```
data_Rb2SmGaTe4
_chemical_formula_sum 'Rb8 Sm4 Ga4 Te16'
_symmetry_space_group_name_H-M 'C 1 2/c 1'
_symmetry_Int_Tables_number 15
_cell_length_a 13.066
_cell_length_b 13.591
_cell_length_c 9.172
_cell_angle_alpha 90.00
_cell_angle_beta 132.82
_cell_angle_gamma 90.00
loop_
_symmetry_equiv_pos_as_xyz
'x,y,z'
'-x,-y,-z'
'-x,y,-z+1/2'
'x,-y,z+1/2'
'x+1/2,y+1/2,z'
'-x+1/2,-y+1/2,-z'
'-x+1/2,y+1/2,-z+1/2'
'x+1/2,-y+1/2,z+1/2'
loop_
_atom_site_label
_atom_site_type_symbol
_atom_site_fract_x
_atom_site_fract_y
_atom_site_fract_z
Rb1 Rb 0.000 0.000 0.000
Rb2 Rb 0.250 0.250 0.000
Sm1 Sm 0.250 0.250 0.500
Ga1 Ga 0.000 0.500 0.000
Te1 Te 0.003 0.265 0.031
Te2 Te 0.198 0.487 0.470
```

Output
D(E_F) (states/eV per cell): 7.47
Uncorrected formation energy (eV per atom): -0.84
Final energy (Ry per atom): -0.2659